DFT (PBE) results for a geometry-optimized HoEr2Cu2 structure.

electronic total energy	-4.4929	eV per atom
E above lowest polymorph	0.072	eV/atom
space-group type	No. 36
mass density	8.86	g cm⁻³
energy relative to the elements	-0.11	eV per atom
crystal system	orthorhombic

```
HoEr2Cu2
1.0
-0.120 -3.631 0.597
0.971 0.670 -7.079
9.113 -0.098 1.240
Cu Er Ho
4 4 2
direct
0.781 0.562 0.646
0.048 0.096 0.322
0.219 0.438 0.146
0.952 0.904 0.822
0.694 0.389 0.368
0.887 0.775 0.153
0.306 0.611 0.868
0.113 0.225 0.653
0.419 0.839 0.497
0.581 0.161 0.997
```